(1)
A relaxed structure of SBr2O. Source: the Alexandria database, functional PBE-GGA.

Energy relative to the elements, uncorrected: 969 meV/atom
DOS at the Fermi energy: 11.498 states/eV per cell
Symmetry: No. 122
Theoretical density: 3.315 g/cm3
Crystal system: tetragonal

abc: 5.235 5.235 15.196
angles: 90.00 90.00 90.00
Element x y z (fractional)
S  0.000  0.000  0.000
S  0.000  0.500  0.250
S  0.500  0.000  0.750
S  0.500  0.500  0.500
Br  0.205  0.250  0.125
Br  0.250  0.705  0.375
Br  0.250  0.795  0.875
Br  0.295  0.250  0.625
Br  0.705  0.750  0.625
Br  0.750  0.205  0.875
Br  0.750  0.295  0.375
Br  0.795  0.750  0.125
O  0.000  0.000  0.500
O  0.000  0.500  0.750
O  0.500  0.000  0.250
O  0.500  0.500  0.000

***

(2)
A relaxed structure of PmLuHg2. Source: the Alexandria database, functional PBE-GGA.

DOS at the Fermi energy: 17.323 states/eV per cell
Symmetry: No. 225
Theoretical density: 11.449 g/cm3
Crystal system: cubic
Offset from the most stable computed form: 17 meV per atom
ΔE_f: -1.84 eV/f.u.

abc: 7.479 7.479 7.479
angles: 90.00 90.00 90.00
Element x y z (fractional)
Pm  0.000  0.000  0.000
Pm  0.000  0.500  0.500
Pm  0.500  0.000  0.500
Pm  0.500  0.500  0.000
Lu  0.000  0.000  0.500
Lu  0.000  0.500  0.000
Lu  0.500  0.000  0.000
Lu  0.500  0.500  0.500
Hg  0.250  0.250  0.250
Hg  0.250  0.250  0.750
Hg  0.250  0.750  0.250
Hg  0.250  0.750  0.750
Hg  0.750  0.250  0.250
Hg  0.750  0.250  0.750
Hg  0.750  0.750  0.250
Hg  0.750  0.750  0.750

***

(3)
A relaxed structure of Tb2PrGd. Source: the Alexandria database, functional PBE-GGA.

DOS at the Fermi energy: 6.280 states/eV per cell
Symmetry: No. 123
Theoretical density: 7.729 g/cm3
Crystal system: tetragonal
Offset from the most stable computed form: 0 meV per atom
ΔE_f: 0.06 eV/f.u.

abc: 5.103 5.103 5.082
angles: 90.00 90.00 90.00
Element x y z (fractional)
Tb  0.000  0.500  0.000
Tb  0.500  0.000  0.000
Pr  0.000  0.000  0.500
Gd  0.500  0.500  0.500